Entry from the Alexandria database: crystalline KLiS3 at its relaxed geometry (PBE-GGA).

Lattice parameters (Å, degrees): 5.682 5.682 5.682 90.00 90.00 90.00
Sites, in units of the cell vectors:
K1 0.000 0.000 0.000
S1 0.000 0.500 0.000
S2 0.000 0.000 0.500
S3 0.500 0.000 0.000
Li1 0.500 0.500 0.500

Summary:
Space-group type: No. 221
VASP energy in eV per cell: -11.96
Crystal system: cubic
Polymorph energy (0 for the lowest one) in meV/atom: 758
Energy relative to the elements, uncorrected in eV/atom: 0.687